[1]
DFT (PBEsol) results for crystalline CaZnSb2 at its relaxed geometry.

```
CaZnSb2
1.0
-1.236 -3.199 -2.007
3.731 -0.707 -1.171
0.913 -3.507 5.026
Zn Ca Sb
1 1 2
direct
0.000 0.000 0.466
0.500 0.500 0.766
0.500 0.500 0.277
0.000 0.000 0.992
```

Results
total magnetic moment: 0.00 Bohr magnetons per cell
raw formation energy: -22.77 kJ/mol of atoms

=====

[2]
DFT (PBEsol) results for crystalline CaZnSb2 at its relaxed geometry.

```
CaZnSb2
1.0
3.391 0.000 0.000
0.000 5.412 0.012
0.000 -1.304 5.253
Sb Zn Ca
2 1 1
direct
0.000 0.500 0.000
0.000 0.000 0.500
0.500 0.000 0.000
0.500 0.500 0.500
```

Results
total magnetic moment: 0.00 Bohr magnetons per cell
raw formation energy: -29.13 kJ/mol of atoms

=====

[3]
DFT (PBEsol) results for crystalline CaZn2Sb2 at its relaxed geometry.

```
CaZn2Sb2
1.0
4.417 0.000 0.000
-2.209 3.826 0.000
0.000 0.000 7.332
Zn Sb Ca
2 2 1
direct
0.333 0.667 0.633
0.667 0.333 0.367
0.333 0.667 0.257
0.667 0.333 0.743
0.000 0.000 0.000
```

Results
total magnetic moment: 0.00 Bohr magnetons per cell
raw formation energy: -42.16 kJ/mol of atoms

=====

[4]
DFT (PBEsol) results for crystalline Ca2ZnSb at its relaxed geometry.

```
Ca2ZnSb
1.0
4.331 0.000 0.000
0.000 4.393 0.000
0.000 -2.197 5.672
Ca Zn Sb
2 1 1
direct
0.500 0.737 0.474
0.000 0.018 0.036
0.000 0.293 0.586
0.500 0.452 0.903
```

Results
total magnetic moment: 0.00 Bohr magnetons per cell
energy above the most stable polymorph in this dataset: 0.000 kcal/mol of atoms
raw formation energy: -65.14 kJ/mol of atoms

=====

[5]
DFT (PBEsol) results for crystalline CaZr2Sb at its relaxed geometry.

```
CaZr2Sb
1.0
3.228 0.000 0.000
0.000 5.437 0.042
-1.614 -1.314 5.484
Zr Ca Sb
2 1 1
direct
0.273 0.277 0.546
0.727 0.723 0.454
0.500 0.000 0.000
0.000 0.500 0.000
```

Results
total magnetic moment: 0.00 Bohr magnetons per cell
raw formation energy: -17.66 kJ/mol of atoms

=====

[6]
DFT (PBEsol) results for crystalline CaZrSb2 at its relaxed geometry.

```
CaZrSb2
1.0
4.140 0.000 0.000
2.070 3.585 0.000
2.070 1.195 7.292
Sb Ca Zr
2 1 1
direct
0.257 0.257 0.229
0.743 0.743 0.771
0.500 0.500 0.500
0.000 0.000 0.000
```

Results
total magnetic moment: 0.00 Bohr magnetons per cell
energy above the most stable polymorph in this dataset: 0.000 kcal/mol of atoms
raw formation energy: -79.70 kJ/mol of atoms

=====

[7]
DFT (PBEsol) results for crystalline CaZrSb2 at its relaxed geometry.

```
CaZrSb2
1.0
3.958 0.000 0.000
0.000 4.632 0.029
-1.979 -0.048 5.481
Sb Ca Zr
2 1 1
direct
0.229 0.625 0.457
0.017 0.124 0.034
0.751 0.126 0.503
0.503 0.625 0.007
```

Results
total magnetic moment: 0.00 Bohr magnetons per cell
energy above the most stable polymorph in this dataset: 4.505 kcal/mol of atoms
raw formation energy: -60.85 kJ/mol of atoms

=====

[8]
DFT (PBEsol) results for crystalline CaZr2Sb at its relaxed geometry.

```
CaZr2Sb
1.0
-3.485 -1.596 -2.095
1.502 -4.059 0.595
-1.424 2.554 4.979
Sb Zr Ca
1 2 1
direct
0.000 0.000 0.000
0.750 0.250 0.500
0.250 0.750 0.500
0.500 0.500 0.000
```

Results
total magnetic moment: 0.00 Bohr magnetons per cell
raw formation energy: -21.96 kJ/mol of atoms

=====

[9]
DFT (PBEsol) results for crystalline CaZr4Sb at its relaxed geometry.

```
CaZr4Sb
1.0
-3.212 2.196 -4.377
-3.114 -3.583 -3.431
-5.846 -0.042 0.351
Sb Zr Ca
1 4 1
direct
0.000 0.000 0.000
0.378 0.378 0.378
0.378 0.866 0.378
0.866 0.378 0.378
0.378 0.378 0.866
0.750 0.750 0.750
```

Results
total magnetic moment: 0.00 Bohr magnetons per cell
raw formation energy: 19.36 kJ/mol of atoms

=====

[10]
DFT (PBEsol) results for crystalline CaZrSb at its relaxed geometry.

```
CaZrSb
1.0
-1.172 2.434 -4.153
1.232 -1.891 -4.411
-3.517 -1.776 -3.003
Zr Sb Ca
1 1 1
direct
0.250 0.250 0.250
0.500 0.500 0.500
0.000 0.000 0.000
```

Results
total magnetic moment: 2.19 Bohr magnetons per cell
raw formation energy: 19.30 kJ/mol of atoms

=====

[11]
DFT (PBEsol) results for crystalline CaZr2Sb at its relaxed geometry.

```
CaZr2Sb
1.0
5.059 0.000 0.000
2.530 4.382 0.000
2.530 1.461 4.131
Zr Sb Ca
2 1 1
direct
0.000 0.000 0.000
0.750 0.750 0.750
0.250 0.250 0.250
0.500 0.500 0.500
```

Results
total magnetic moment: 1.43 Bohr magnetons per cell
raw formation energy: -5.83 kJ/mol of atoms

=====

[12]
DFT (PBEsol) results for crystalline CaZr2Sb at its relaxed geometry.

```
CaZr2Sb
1.0
-2.158 2.305 -0.860
0.455 -0.750 -3.153
-6.915 -6.290 0.498
Sb Zr Ca
1 2 1
direct
0.500 0.500 0.770
0.500 0.500 0.219
0.000 0.000 0.995
0.000 0.000 0.517
```

Results
total magnetic moment: 0.00 Bohr magnetons per cell
raw formation energy: -20.37 kJ/mol of atoms

=====

[13]
DFT (PBEsol) results for crystalline CaZr2Sb at its relaxed geometry.

```
CaZr2Sb
1.0
-2.479 0.355 -2.238
-0.804 -2.867 1.555
-5.005 4.825 6.309
Ca Zr Sb
1 2 1
direct
0.500 0.500 0.500
0.000 0.000 0.204
0.000 0.000 0.796
0.500 0.500 0.000
```

Results
total magnetic moment: 0.01 Bohr magnetons per cell
raw formation energy: -3.85 kJ/mol of atoms

=====

[14]
DFT (PBEsol) results for crystalline CaZr2Sb at its relaxed geometry.

```
CaZr2Sb
1.0
-1.762 2.064 -1.826
-0.196 -2.529 -2.065
-7.848 -2.901 4.294
Ca Zr Sb
1 2 1
direct
0.000 0.000 0.484
0.500 0.500 0.780
0.000 0.000 0.006
0.500 0.500 0.230
```

Results
total magnetic moment: 0.00 Bohr magnetons per cell
raw formation energy: -20.57 kJ/mol of atoms

=====

[15]
DFT (PBEsol) results for crystalline CaSc3 at its relaxed geometry.

```
CaSc3
1.0
3.324 0.000 0.000
0.000 5.362 0.000
0.000 0.000 5.930
Ca Sc
1 3
direct
0.000 0.000 0.005
0.000 0.500 0.343
0.500 0.500 0.812
0.500 0.000 0.506
```

Results
energy relative to the elements: 0.182 eV per atom
total magnetic moment: 1.76 Bohr magnetons per cell

=====

[16]
DFT (PBEsol) results for crystalline Ca3Sc at its relaxed geometry.

```
Ca3Sc
1.0
-2.946 2.040 4.994
-1.632 -5.760 1.391
5.142 -0.659 3.303
Ca Sc
3 1
direct
0.500 0.000 0.000
0.000 0.500 0.000
0.000 0.000 0.500
0.000 0.000 0.000
```

Results
energy relative to the elements: 1.023 eV per atom
total magnetic moment: 4.28 Bohr magnetons per cell

=====

[17]
DFT (PBEsol) results for crystalline CaSc at its relaxed geometry.

```
CaSc
1.0
-2.213 1.314 2.494
2.057 -1.415 2.571
5.145 8.059 0.320
Ca Sc
2 2
direct
0.500 0.000 0.846
0.000 0.500 0.154
0.000 0.500 0.592
0.500 0.000 0.408
```

Results
energy relative to the elements: 0.125 eV per atom
total magnetic moment: 0.47 Bohr magnetons per cell
energy above the most stable polymorph in this dataset: 0.000 kcal/mol of atoms

=====

[18]
DFT (PBEsol) results for crystalline CaSc3 at its relaxed geometry.

```
CaSc3
1.0
3.356 0.000 0.000
-1.678 2.907 0.000
0.000 0.000 10.831
Sc Ca
3 1
direct
0.000 0.000 0.500
0.333 0.667 0.727
0.333 0.667 0.273
0.000 0.000 0.000
```

Results
energy relative to the elements: 0.119 eV per atom
total magnetic moment: 0.00 Bohr magnetons per cell

=====

[19]
DFT (PBEsol) results for crystalline CaSc3 at its relaxed geometry.

```
CaSc3
1.0
5.309 0.000 0.000
2.655 4.598 0.000
2.655 1.533 4.335
Ca Sc
1 3
direct
0.000 0.000 0.000
0.750 0.750 0.750
0.500 0.500 0.500
0.250 0.250 0.250
```

Results
energy relative to the elements: 0.259 eV per atom
total magnetic moment: 1.39 Bohr magnetons per cell

=====

[20]
DFT (PBEsol) results for crystalline CaSc2 at its relaxed geometry.

```
CaSc2
1.0
3.373 0.000 0.000
-1.687 2.921 0.000
0.000 0.000 8.440
Sc Ca
2 1
direct
0.667 0.333 0.355
0.333 0.667 0.645
0.000 0.000 0.000
```

Results
energy relative to the elements: 0.181 eV per atom
total magnetic moment: 0.59 Bohr magnetons per cell
energy above the most stable polymorph in this dataset: 0.000 kcal/mol of atoms